NiS2F | PBE with a Hubbard U | optimized geometry

Lattice parameters (Å, degrees): 6.6812 6.6812 6.6812 29.23 29.23 29.23
Sites, in units of the cell vectors:
1 Ni 0.0000 0.0000 0.0000
2 S 0.3917 0.3917 0.3917
3 S 0.6083 0.6083 0.6083
4 F 0.5000 0.5000 0.5000

Computed properties:
* energy relative to the lowest polymorph listed for this composition: 0.0 kJ per mole of atoms
* N(E_F): 0.274 states/eV per atom
* energy: -3.293 eV per atom